1.
Ca3Zn3Ag: relaxed, GGA-PBE.

Cell lengths 11.0377, 4.5365, 14.8266 Å; angles 90.00, 109.74, 90.00 degrees
Space group C2/m (No. 12)
One atom of each set of equivalent atoms:
Ca1 0.0345 0.0000 0.3838 x4
Ca2 0.1093 0.0000 0.9233 x4
Ca3 0.2486 0.0000 0.2308 x4
Zn1 0.0400 0.5000 0.2311 x4
Zn2 0.0993 0.5000 0.0770 x4
Zn3 0.1258 0.5000 0.5408 x4
Ag1 0.2451 0.5000 0.3963 x4

Volume in Å³ per atom: 24.96
Raw total energy in eV for the cell shown: -58.22



2.
TlV4S8: relaxed, GGA-PBE.

Cell lengths 16.4507, 3.2617, 11.4773 Å; angles 90.00, 130.47, 90.00 degrees
Space group Cm (No. 8)
One atom of each set of equivalent atoms:
Tl1 0.0000 0.0000 0.0000 x2
V1 0.1577 0.0000 0.4791 x2
V2 0.1688 0.5000 0.8456 x2
V3 0.3308 0.0000 0.1524 x2
V4 0.3423 0.5000 0.5192 x2
S1 0.0374 0.0000 0.7342 x2
S2 0.1326 0.5000 0.5964 x2
S3 0.1580 0.5000 0.3272 x2
S4 0.1993 0.5000 0.0733 x2
S5 0.3002 0.0000 0.9246 x2
S6 0.3420 0.0000 0.6712 x2
S7 0.3672 0.0000 0.4016 x2
S8 0.4623 0.5000 0.2636 x2

Formation energy (no corrections) in eV per atom: -0.781
Volume in Å³ per atom: 18.02
Raw total energy in eV for the cell shown: -164.02
Relative energy among the computed polymorphs in eV per atom: 0.000



3.
CsBa2Bi2: relaxed, GGA-PBE.

Cell lengths 6.0733, 6.0733, 14.3882 Å; angles 90.00, 90.00, 90.00 degrees
Space group I4/mmm (No. 139)
One atom of each set of equivalent atoms:
Cs1 0.0000 0.0000 0.0000 x2
Ba1 0.0000 0.5000 0.2500 x4
Bi1 0.0000 0.0000 0.3829 x4

Volume in Å³ per atom: 53.07
Raw total energy in eV for the cell shown: -30.64
Relative energy among the computed polymorphs in eV per atom: 0.163



4.
LaSc2Ru: relaxed, GGA-PBE.

Cell lengths 3.2560, 3.2560, 31.0470 Å; angles 90.00, 90.00, 120.00 degrees
Space group R-3m (No. 166, hexagonal axes)
One atom of each set of equivalent atoms:
La1 0.0000 0.0000 0.0000 x3
Sc1 0.0000 0.0000 0.1060 x6
Ru1 0.0000 0.0000 0.5000 x3

Volume in Å³ per atom: 23.75
Raw total energy in eV for the cell shown: -80.75
Relative energy among the computed polymorphs in eV per atom: 0.314



5.
Tb2HoSc4: relaxed, GGA-PBE.

Cell lengths 3.6210, 20.9599, 5.2312 Å; angles 90.00, 90.00, 90.00 degrees
Space group Cmmm (No. 65)
One atom of each set of equivalent atoms:
Tb1 0.0000 0.0736 0.0000 x4
Ho1 0.0000 0.5000 0.5000 x2
Sc1 0.0000 0.1810 0.5000 x4
Sc2 0.0000 0.3025 0.0000 x4

Volume in Å³ per atom: 28.36
Raw total energy in eV for the cell shown: -75.90



6.
VFe2Ge2: relaxed, GGA-PBE.

Cell lengths 6.7698, 6.7698, 2.7936 Å; angles 90.00, 90.00, 90.00 degrees
Space group P4/mbm (No. 127)
One atom of each set of equivalent atoms:
V1 0.0000 0.0000 0.0000 x2
Fe1 0.1336 0.3664 0.0000 x4
Ge1 0.1648 0.6648 0.5000 x4

Volume in Å³ per atom: 12.80
Raw total energy in eV for the cell shown: -69.84



7.
Tc2PtCl: relaxed, GGA-PBE.

Cell lengths 2.7728, 4.6461, 4.8858 Å; angles 90.00, 90.00, 90.00 degrees
Space group Pmmm (No. 47)
One atom of each set of equivalent atoms:
Tc1 0.0000 0.0000 0.0000 x1
Tc2 0.5000 0.0000 0.5000 x1
Pt1 0.0000 0.5000 0.5000 x1
Cl1 0.5000 0.5000 0.0000 x1

Formation energy (no corrections) in eV per atom: 0.811
Volume in Å³ per atom: 15.74
Raw total energy in eV for the cell shown: -25.37
Relative energy among the computed polymorphs in eV per atom: 0.693



8.
TiCrMoPt: relaxed, GGA-PBE.

Cell lengths 6.2046, 6.2046, 6.2046 Å; angles 90.00, 90.00, 90.00 degrees
Space group F-43m (No. 216)
One atom of each set of equivalent atoms:
Ti1 0.0000 0.0000 0.0000 x4
Cr1 0.0000 0.0000 0.5000 x4
Mo1 0.2500 0.2500 0.7500 x4
Pt1 0.2500 0.2500 0.2500 x4

Volume in Å³ per atom: 14.93
Raw total energy in eV for the cell shown: -142.90